# 1
Here is a relaxed ScAgHg6 crystal from Alexandria. Energies are from PBE.

Computed properties:
Crystal system: triclinic
Volume, Å³/cell: 181.2
ΔH_f (0 K), kJ/mol of formula units: -32
Total energy, eV per cell: -11.3

abc: 4.6166 5.5378 8.0850
angles: 72.35 75.44 68.74
Fractional coordinates of all 8 atoms:
Sc1 0.0000 0.0000 0.0000
Ag1 0.0000 0.5000 0.5000
Hg1 0.2374 0.3870 0.1289
Hg2 0.2420 0.8828 0.6285
Hg3 0.4936 0.7522 0.2515
Hg4 0.5064 0.2478 0.7485
Hg5 0.7580 0.1172 0.3715
Hg6 0.7626 0.6130 0.8711

---

# 2
Here is a relaxed TmCo2C2 crystal from Alexandria. Energies are from PBE.

Computed properties:
Crystal system: monoclinic
Volume, Å³/cell: 54.5
ΔH_f (0 K), kJ/mol of formula units: -66
Total energy, eV per cell: -37.8

abc: 3.3299 3.3299 5.4457
angles: 107.67 107.67 89.99
Fractional coordinates of all 5 atoms:
Tm1 0.0000 0.0000 0.0000
Co1 0.2502 0.7498 0.5000
Co2 0.7498 0.2502 0.5000
C1 0.3539 0.3539 0.7099
C2 0.6461 0.6461 0.2901

---

# 3
Here is a relaxed Ga2HgBr crystal from Alexandria. Energies are from PBE.

Computed properties:
Formation energy without anion corrections, eV per atom: -0.02
Crystal system: cubic
Volume, Å³/cell: 101.9
Relative energy among the computed polymorphs, kJ per mole of atoms: 10.3
Total energy, eV per cell: -8.1

abc: 5.2424 5.2424 5.2424
angles: 60.00 60.00 60.00
Fractional coordinates of all 4 atoms:
Ga1 0.2500 0.2500 0.2500
Ga2 0.7500 0.7500 0.7500
Hg1 0.0000 0.0000 0.0000
Br1 0.5000 0.5000 0.5000

---

# 4
Here is a relaxed Pr2TmUAs4 crystal from Alexandria. Energies are from PBE.

Computed properties:
Crystal system: monoclinic
Volume, Å³/cell: 207.3
ΔH_f (0 K), kJ/mol of formula units: -1003
Total energy, eV per cell: -54.3

abc: 7.2392 4.1721 7.2661
angles: 90.00 109.14 90.00
Fractional coordinates of all 8 atoms:
Pr1 0.0000 0.0000 0.0000
Pr2 0.5000 0.5000 0.0000
Tm1 0.0000 0.5000 0.5000
U1 0.5000 0.0000 0.5000
As1 0.2467 0.0000 0.7322
As2 0.2560 0.5000 0.2667
As3 0.7440 0.5000 0.7333
As4 0.7533 0.0000 0.2678

---

# 5
Here is a relaxed Ho2CoPt9 crystal from Alexandria. Energies are from PBE.

Computed properties:
Crystal system: tetragonal
Volume, Å³/cell: 198.1
ΔH_f (0 K), kJ/mol of formula units: -804
Total energy, eV per cell: -79.0

abc: 4.0468 4.0468 12.0991
angles: 90.00 90.00 90.00
Fractional coordinates of all 12 atoms:
Ho1 0.0000 0.0000 0.1719
Ho2 0.0000 0.0000 0.8281
Co1 0.0000 0.0000 0.5000
Pt1 0.0000 0.5000 0.0000
Pt2 0.0000 0.5000 0.3476
Pt3 0.0000 0.5000 0.6524
Pt4 0.5000 0.0000 0.0000
Pt5 0.5000 0.0000 0.3476
Pt6 0.5000 0.0000 0.6524
Pt7 0.5000 0.5000 0.1732
Pt8 0.5000 0.5000 0.5000
Pt9 0.5000 0.5000 0.8268

---

# 6
Here is a relaxed TaPd2O6 crystal from Alexandria. Energies are from PBE.

Computed properties:
Formation energy without anion corrections, eV per atom: -1.24
Crystal system: tetragonal
Volume, Å³/cell: 210.1
Total energy, eV per cell: -126.3

abc: 4.7130 4.7130 9.4606
angles: 90.00 90.00 90.00
Fractional coordinates of all 18 atoms:
Ta1 0.0000 0.0000 0.0000
Ta2 0.5000 0.5000 0.5000
Pd1 0.0000 0.0000 0.3316
Pd2 0.0000 0.0000 0.6684
Pd3 0.5000 0.5000 0.1684
Pd4 0.5000 0.5000 0.8316
O1 0.1947 0.1947 0.1599
O2 0.1947 0.1947 0.8401
O3 0.1958 0.1958 0.5000
O4 0.3042 0.6958 0.0000
O5 0.3053 0.6947 0.3401
O6 0.3053 0.6947 0.6599
O7 0.6947 0.3053 0.3401
O8 0.6947 0.3053 0.6599
O9 0.6958 0.3042 0.0000
O10 0.8042 0.8042 0.5000
O11 0.8053 0.8053 0.1599
O12 0.8053 0.8053 0.8401

---

# 7
Here is a relaxed CaGa2BF crystal from Alexandria. Energies are from PBE.

Computed properties:
Formation energy without anion corrections, eV per atom: 0.35
Crystal system: tetragonal
Volume, Å³/cell: 139.6
Total energy, eV per cell: -14.9

abc: 5.8390 5.8390 4.0960
angles: 90.00 90.00 90.00
Fractional coordinates of all 5 atoms:
Ca1 0.0000 0.0000 0.0000
Ga1 0.0000 0.5000 0.0000
Ga2 0.5000 0.0000 0.0000
B1 0.5000 0.5000 0.5000
F1 0.0000 0.0000 0.5000

---

# 8
Here is a relaxed TbSm3Er3Te8 crystal from Alexandria. Energies are from PBE.

Computed properties:
Formation energy without anion corrections, eV per atom: -1.38
Crystal system: trigonal
Volume, Å³/cell: 470.5
Total energy, eV per cell: -78.3

abc: 8.7413 8.7413 8.7413
angles: 59.84 59.84 59.84
Fractional coordinates of all 15 atoms:
Tb1 0.0000 0.0000 0.0000
Sm1 0.0000 0.0000 0.5000
Sm2 0.0000 0.5000 0.0000
Sm3 0.5000 0.0000 0.0000
Er1 0.0000 0.5000 0.5000
Er2 0.5000 0.0000 0.5000
Er3 0.5000 0.5000 0.0000
Te1 0.2534 0.2534 0.2534
Te2 0.2552 0.2552 0.7380
Te3 0.2552 0.7380 0.2552
Te4 0.2620 0.7448 0.7448
Te5 0.7380 0.2552 0.2552
Te6 0.7448 0.2620 0.7448
Te7 0.7448 0.7448 0.2620
Te8 0.7466 0.7466 0.7466

---

# 9
Here is a relaxed KCoSe crystal from Alexandria. Energies are from PBE.

Computed properties:
Formation energy without anion corrections, eV per atom: -0.33
Crystal system: hexagonal
Volume, Å³/cell: 73.8
Relative energy among the computed polymorphs, kJ per mole of atoms: 9.3
Total energy, eV per cell: -12.7

abc: 4.0527 4.0527 5.1895
angles: 90.00 90.00 120.00
Fractional coordinates of all 3 atoms:
K1 0.0000 0.0000 0.0000
Co1 0.3333 0.6667 0.5000
Se1 0.6667 0.3333 0.5000

---

# 10
Here is a relaxed AlInFe2 crystal from Alexandria. Energies are from PBE.

Computed properties:
Crystal system: monoclinic
Volume, Å³/cell: 61.0
ΔH_f (0 K), kJ/mol of formula units: 60
Total energy, eV per cell: -22.8

abc: 4.5548 4.5548 4.9232
angles: 100.87 100.87 37.56
Fractional coordinates of all 4 atoms:
Al1 0.0000 0.0000 0.0000
In1 0.5000 0.5000 0.5000
Fe1 0.2537 0.2537 0.7993
Fe2 0.7463 0.7463 0.2007

---

# 11
Here is a relaxed LaCrMo2 crystal from Alexandria. Energies are from PBE.

Computed properties:
Crystal system: orthorhombic
Volume, Å³/cell: 71.3
Relative energy among the computed polymorphs, kJ per mole of atoms: 8.9
ΔH_f (0 K), kJ/mol of formula units: 195
Total energy, eV per cell: -34.2

abc: 2.8648 2.8648 9.3890
angles: 90.00 90.00 112.39
Fractional coordinates of all 4 atoms:
La1 0.0000 0.0000 0.0000
Cr1 0.0000 0.0000 0.5000
Mo1 0.5000 0.5000 0.2959
Mo2 0.5000 0.5000 0.7041

---

# 12
Here is a relaxed Cs5K2Au3 crystal from Alexandria. Energies are from PBE.

Computed properties:
Crystal system: orthorhombic
Volume, Å³/cell: 1182.5
ΔH_f (0 K), kJ/mol of formula units: -141
Total energy, eV per cell: -35.5

abc: 11.9436 11.9436 11.9436
angles: 116.89 88.74 124.73
Fractional coordinates of all 20 atoms:
Cs1 0.0321 0.7500 0.2821
Cs2 0.0331 0.6910 0.7240
Cs3 0.2500 0.2500 0.0000
Cs4 0.4669 0.1910 0.6579
Cs5 0.4679 0.7500 0.7179
Cs6 0.5321 0.2500 0.2821
Cs7 0.5331 0.8090 0.3421
Cs8 0.7500 0.7500 0.0000
Cs9 0.9669 0.3090 0.2760
Cs10 0.9679 0.2500 0.7179
K1 0.2124 0.2373 0.4497
K2 0.2876 0.7373 0.0250
K3 0.7124 0.2627 0.9750
K4 0.7876 0.7627 0.5503
Au1 0.1461 0.9595 0.1056
Au2 0.2500 0.7500 0.5000
Au3 0.3539 0.4595 0.8134
Au4 0.6461 0.5405 0.1866
Au5 0.7500 0.2500 0.5000
Au6 0.8539 0.0405 0.8944